(1)
Entry from Alexandria via LeMat-Bulk: a geometry-optimized NbSiPt3 structure (GGA-PBEsol).

Its uncorrected formation energy is 337.5 meV per atom. The total moment is 1.857 μB per cell. As for the density of states at the Fermi level: 5.841 states/eV/f.u.

Structure (POSCAR):
```
NbSiPt3
1.0
4.452 0.000 0.000
0.000 4.452 0.000
0.000 0.000 4.452
Nb Si Pt
1 1 3
Direct
0.000 0.000 0.000
0.500 0.500 0.500
0.000 0.500 0.500
0.500 0.000 0.500
0.500 0.500 0.000
```

(2)
Entry from Alexandria via LeMat-Bulk: a geometry-optimized Nb3SnPt structure (GGA-PBEsol).

The total moment is 0.000 μB per cell. Its formation energy is 4.34 eV per formula unit. As for the density of states at the Fermi level: 4.650 states/eV/f.u.

Structure (POSCAR):
```
Nb3SnPt
1.0
4.855 0.000 0.000
0.000 4.855 0.000
0.000 0.000 4.855
Nb Sn Pt
3 1 1
Direct
0.000 0.000 0.500
0.000 0.500 0.000
0.500 0.000 0.000
0.500 0.500 0.500
0.000 0.000 0.000
```

(3)
Entry from Alexandria via LeMat-Bulk: a geometry-optimized SrNbPt3 structure (GGA-PBEsol).

The total moment is 2.493 μB per cell. Its formation energy is 9.86 eV per formula unit. As for the density of states at the Fermi level: 10.239 states/eV/f.u.

Structure (POSCAR):
```
SrNbPt3
1.0
4.955 0.000 0.000
0.000 4.955 0.000
0.000 0.000 4.955
Sr Nb Pt
1 1 3
Direct
0.000 0.000 0.000
0.500 0.500 0.500
0.000 0.000 0.500
0.000 0.500 0.000
0.500 0.000 0.000
```

(4)
Entry from Alexandria via LeMat-Bulk: a geometry-optimized NbTcPt3 structure (GGA-PBEsol).

The total moment is 3.559 μB per cell. Its formation energy is 8.04 eV per formula unit. As for the density of states at the Fermi level: 4.536 states/eV/f.u.

Structure (POSCAR):
```
NbTcPt3
1.0
4.769 0.000 0.000
0.000 4.769 0.000
0.000 0.000 4.769
Nb Tc Pt
1 1 3
Direct
0.000 0.000 0.000
0.500 0.500 0.500
0.000 0.000 0.500
0.000 0.500 0.000
0.500 0.000 0.000
```

(5)
Entry from Alexandria via LeMat-Bulk: a geometry-optimized NbTc3Pt structure (GGA-PBEsol).

The total moment is 0.000 μB per cell. Its formation energy is 9.95 eV per formula unit. As for the density of states at the Fermi level: 6.243 states/eV/f.u.

Structure (POSCAR):
```
NbTc3Pt
1.0
4.571 0.000 0.000
0.000 4.571 0.000
0.000 0.000 4.571
Nb Tc Pt
1 3 1
Direct
0.000 0.000 0.000
0.000 0.000 0.500
0.000 0.500 0.000
0.500 0.000 0.000
0.500 0.500 0.500
```

(6)
Entry from Alexandria via LeMat-Bulk: a geometry-optimized NbTc3Pt structure (GGA-PBEsol).

The total moment is 0.001 μB per cell. Its formation energy is 10.00 eV per formula unit. As for the density of states at the Fermi level: 9.639 states/eV/f.u.

Structure (POSCAR):
```
NbTc3Pt
1.0
4.607 0.000 0.000
0.000 4.607 0.000
0.000 0.000 4.607
Nb Tc Pt
1 3 1
Direct
0.000 0.000 0.000
0.000 0.500 0.500
0.500 0.000 0.500
0.500 0.500 0.000
0.500 0.500 0.500
```

(7)
Entry from Alexandria via LeMat-Bulk: a geometry-optimized NbTe2Pt structure (GGA-PBEsol).

Its uncorrected formation energy is 439.2 meV per atom. The total moment is 0.092 μB per cell. As for the density of states at the Fermi level: 4.754 states/eV/f.u.

Structure (POSCAR):
```
NbTe2Pt
1.0
1.791 1.034 8.683
-1.791 1.034 8.683
0.000 -2.068 8.683
Nb Te Pt
1 2 1
Direct
0.000 0.000 0.000
0.102 0.102 0.102
0.898 0.898 0.898
0.500 0.500 0.500
```

(8)
Entry from Alexandria via LeMat-Bulk: a geometry-optimized NbTl3Pt structure (GGA-PBEsol).

The total moment is 3.906 μB per cell. Its formation energy is 4.81 eV per formula unit. As for the density of states at the Fermi level: 6.901 states/eV/f.u.

Structure (POSCAR):
```
NbTl3Pt
1.0
5.178 0.000 0.000
0.000 5.178 0.000
0.000 0.000 5.178
Nb Tl Pt
1 3 1
Direct
0.000 0.000 0.000
0.000 0.500 0.500
0.500 0.000 0.500
0.500 0.500 0.000
0.500 0.500 0.500
```